(1)
DFT (PBE-GGA) results for an optimized crystal structure of TmMgIr.

Unit cell a=6.526 b=6.526 c=6.526 alpha=90.00 beta=90.00 gamma=90.00
Space group F-43m (No. 216)
Unique sites:
Tm1 0.000 0.000 0.000 x4
Mg1 0.250 0.250 0.250 x4
Ir1 0.250 0.250 0.750 x4

Values from the calculation:
The energy comes out at -4.824 eV/atom. The total magnetic moment comes out at 0.03 μB/cell.


(2)
DFT (PBE-GGA) results for an optimized crystal structure of Tm2MgIr3.

Unit cell a=5.5432 b=5.5432 c=8.1549 alpha=90.00 beta=90.00 gamma=120.00
Space group P6_3/mmc (No. 194)
Unique sites:
Tm1 0.3333 0.6667 0.0625 x4
Mg1 0.0000 0.0000 0.0000 x2
Ir1 0.1715 0.3431 0.7500 x6

Values from the calculation:
The energy comes out at -6.900 eV/atom. The total magnetic moment comes out at 0.00 μB/cell.


(3)
DFT (PBE-GGA) results for an optimized crystal structure of Y2TmMg3Ir3.

Unit cell a=4.045 b=12.529 c=7.262 alpha=90.00 beta=90.00 gamma=90.00
Space group Amm2 (No. 38)
Unique sites:
Y1 0.000 0.205 0.000 x4
Tm1 0.000 0.000 0.388 x2
Mg1 0.500 0.000 0.040 x2
Mg2 0.500 0.123 0.672 x4
Ir1 0.000 0.000 0.792 x2
Ir2 0.500 0.164 0.296 x4

Values from the calculation:
The energy comes out at -6.085 eV/atom. The total magnetic moment comes out at 0.01 μB/cell.


(4)
DFT (PBE-GGA) results for an optimized crystal structure of Tm3Mg3ZnIr2.

Unit cell a=7.2939 b=7.2939 c=4.0116 alpha=90.00 beta=90.00 gamma=120.00
Space group P-62m (No. 189)
Unique sites:
Tm1 0.0000 0.4210 0.0000 x3
Mg1 0.0000 0.7498 0.5000 x3
Zn1 0.0000 0.0000 0.0000 x1
Ir1 0.3333 0.6667 0.5000 x2

Values from the calculation:
The energy comes out at -4.662 eV/atom. The total magnetic moment comes out at 0.01 μB/cell.


(5)
DFT (PBE-GGA) results for an optimized crystal structure of TmMgZn2Ir4.

Unit cell a=4.435 b=4.435 c=6.310 alpha=90.00 beta=90.00 gamma=90.00
Space group P4/mmm (No. 123)
Unique sites:
Tm1 0.000 0.000 0.000 x1
Mg1 0.500 0.500 0.500 x1
Zn1 0.000 0.000 0.500 x1
Zn2 0.500 0.500 0.000 x1
Ir1 0.000 0.500 0.265 x4

Values from the calculation:
The energy comes out at -5.836 eV/atom. The total magnetic moment comes out at 0.00 μB/cell.


(6)
DFT (PBE-GGA) results for an optimized crystal structure of YMgIr.

Unit cell a=7.079 b=4.111 c=8.511 alpha=90.00 beta=90.00 gamma=90.00
Space group Pnma (No. 62)
Unique sites:
Y1 0.039 0.250 0.174 x4
Mg1 0.135 0.250 0.559 x4
Ir1 0.248 0.750 0.370 x4

Values from the calculation:
The energy comes out at -6.300 eV/atom. The total magnetic moment comes out at 0.00 μB/cell.


(7)
DFT (PBE-GGA) results for an optimized crystal structure of Y3Mg2ZnIr3.

Unit cell a=4.036 b=12.539 c=7.192 alpha=90.00 beta=90.00 gamma=90.00
Space group Amm2 (No. 38)
Unique sites:
Y1 0.000 0.000 0.000 x2
Y2 0.000 0.201 0.373 x4
Mg1 0.500 0.121 0.702 x4
Zn1 0.500 0.000 0.334 x2
Ir1 0.000 0.000 0.572 x2
Ir2 0.500 0.167 0.079 x4

Values from the calculation:
The energy comes out at -6.267 eV/atom. The total magnetic moment comes out at 0.01 μB/cell.


(8)
DFT (PBE-GGA) results for an optimized crystal structure of MgZnIr.

Unit cell a=4.964 b=5.573 c=6.962 alpha=90.00 beta=90.00 gamma=90.00
Space group Imma (No. 74)
Unique sites:
Mg1 0.000 0.250 0.138 x4
Zn1 0.250 0.250 0.750 x4
Ir1 0.000 0.000 0.500 x4

Values from the calculation:
The energy comes out at -4.236 eV/atom. The total magnetic moment comes out at 0.05 μB/cell.


Question: The highest total magnetic moment belongs to which entry?
Answer: MgZnIr


Question: energy of number 4 (Tm3Mg3ZnIr2)?
Answer: -4.662 eV/atom


Question: What is the total magnetic moment in the sixth record?
Answer: 0.00 μB/cell